Model w:
A plane-wave DFT calculation with GGA-PBE was carried out for crystalline NpSn2Pd at its relaxed geometry.

**DOS(E_F)**: 43.0 states/eV/cell

```
data_NpSn2Pd
_space_group_name_H-M_alt 'F m -3 m'
_space_group_IT_number 225
_space_group_name_Hall '-F 4 2 3'
_cell_length_a 7.143
_cell_length_b 7.143
_cell_length_c 7.143
_cell_angle_alpha 90.00
_cell_angle_beta 90.00
_cell_angle_gamma 90.00
loop_
_atom_site_label
_atom_site_type_symbol
_atom_site_fract_x
_atom_site_fract_y
_atom_site_fract_z
Np1 Np 0.000 0.000 0.000
Sn1 Sn 0.250 0.250 0.250
Pd1 Pd 0.000 0.000 0.500
```



Model x:
A plane-wave DFT calculation with GGA-PBE was carried out for crystalline NpSn2Pd at its relaxed geometry.

**DOS(E_F)**: 10.9 states/eV/cell

```
data_NpSn2Pd
_space_group_name_H-M_alt 'P 4/m m m'
_space_group_IT_number 123
_space_group_name_Hall '-P 4 2'
_cell_length_a 4.502
_cell_length_b 4.502
_cell_length_c 4.475
_cell_angle_alpha 90.00
_cell_angle_beta 90.00
_cell_angle_gamma 90.00
loop_
_atom_site_label
_atom_site_type_symbol
_atom_site_fract_x
_atom_site_fract_y
_atom_site_fract_z
Np1 Np 0.000 0.000 0.000
Sn1 Sn 0.000 0.500 0.500
Pd1 Pd 0.500 0.500 0.000
```



Least stable: model w



Model w:
A plane-wave DFT calculation with GGA-PBE was carried out for crystalline NpSn2Pd at its relaxed geometry.

**DOS(E_F)**: 5.1 states/eV/cell

```
data_NpSn2Pd
_space_group_name_H-M_alt 'P 4/m m m'
_space_group_IT_number 123
_space_group_name_Hall '-P 4 2'
_cell_length_a 3.314
_cell_length_b 3.314
_cell_length_c 7.981
_cell_angle_alpha 90.00
_cell_angle_beta 90.00
_cell_angle_gamma 90.00
loop_
_atom_site_label
_atom_site_type_symbol
_atom_site_fract_x
_atom_site_fract_y
_atom_site_fract_z
Np1 Np 0.000 0.000 0.000
Sn1 Sn 0.500 0.500 0.288
Pd1 Pd 0.000 0.000 0.500
```



Model x:
A plane-wave DFT calculation with GGA-PBE was carried out for crystalline NpSn2Pd at its relaxed geometry.

**DOS(E_F)**: 10.7 states/eV/cell

```
data_NpSn2Pd
_space_group_name_H-M_alt 'R -3 m'
_space_group_IT_number 166
_space_group_name_Hall '-R 3 2"'
_cell_length_a 3.1562
_cell_length_b 3.1562
_cell_length_c 32.1361
_cell_angle_alpha 90.00
_cell_angle_beta 90.00
_cell_angle_gamma 120.00
loop_
_atom_site_label
_atom_site_type_symbol
_atom_site_fract_x
_atom_site_fract_y
_atom_site_fract_z
Np1 Np 0.0000 0.0000 0.0000
Sn1 Sn 0.0000 0.0000 0.0999
Pd1 Pd 0.0000 0.0000 0.5000
```



Least stable: model x



Model w:
A plane-wave DFT calculation with GGA-PBE was carried out for crystalline NpTePd2 at its relaxed geometry.

**DOS(E_F)**: 42.8 states/eV/cell

```
data_NpTePd2
_space_group_name_H-M_alt 'F m -3 m'
_space_group_IT_number 225
_space_group_name_Hall '-F 4 2 3'
_cell_length_a 6.898
_cell_length_b 6.898
_cell_length_c 6.898
_cell_angle_alpha 90.00
_cell_angle_beta 90.00
_cell_angle_gamma 90.00
loop_
_atom_site_label
_atom_site_type_symbol
_atom_site_fract_x
_atom_site_fract_y
_atom_site_fract_z
Np1 Np 0.000 0.000 0.000
Te1 Te 0.000 0.000 0.500
Pd1 Pd 0.250 0.250 0.250
```



Model x:
A plane-wave DFT calculation with GGA-PBE was carried out for crystalline NpTePd2 at its relaxed geometry.

**DOS(E_F)**: 12.7 states/eV/cell

```
data_NpTePd2
_space_group_name_H-M_alt 'P 4/m m m'
_space_group_IT_number 123
_space_group_name_Hall '-P 4 2'
_cell_length_a 4.363
_cell_length_b 4.363
_cell_length_c 4.380
_cell_angle_alpha 90.00
_cell_angle_beta 90.00
_cell_angle_gamma 90.00
loop_
_atom_site_label
_atom_site_type_symbol
_atom_site_fract_x
_atom_site_fract_y
_atom_site_fract_z
Np1 Np 0.000 0.000 0.000
Te1 Te 0.500 0.500 0.000
Pd1 Pd 0.000 0.500 0.500
```



Least stable: model x



Model w:
A plane-wave DFT calculation with GGA-PBE was carried out for crystalline NpV2Pd at its relaxed geometry.

**DOS(E_F)**: 19.7 states/eV/cell

```
data_NpV2Pd
_space_group_name_H-M_alt 'R -3 m'
_space_group_IT_number 166
_space_group_name_Hall '-R 3 2"'
_cell_length_a 2.7351
_cell_length_b 2.7351
_cell_length_c 28.8613
_cell_angle_alpha 90.00
_cell_angle_beta 90.00
_cell_angle_gamma 120.00
loop_
_atom_site_label
_atom_site_type_symbol
_atom_site_fract_x
_atom_site_fract_y
_atom_site_fract_z
Np1 Np 0.0000 0.0000 0.0000
V1 V 0.0000 0.0000 0.2436
Pd1 Pd 0.0000 0.0000 0.5000
```



Model x:
A plane-wave DFT calculation with GGA-PBE was carried out for crystalline NpV2Pd at its relaxed geometry.

**DOS(E_F)**: 6.3 states/eV/cell

```
data_NpV2Pd
_space_group_name_H-M_alt 'P 4/m m m'
_space_group_IT_number 123
_space_group_name_Hall '-P 4 2'
_cell_length_a 4.683
_cell_length_b 4.683
_cell_length_c 2.811
_cell_angle_alpha 90.00
_cell_angle_beta 90.00
_cell_angle_gamma 90.00
loop_
_atom_site_label
_atom_site_type_symbol
_atom_site_fract_x
_atom_site_fract_y
_atom_site_fract_z
Np1 Np 0.000 0.000 0.000
V1 V 0.000 0.500 0.500
Pd1 Pd 0.500 0.500 0.000
```



Least stable: model w



Model w:
A plane-wave DFT calculation with GGA-PBE was carried out for crystalline PmNpRu2 at its relaxed geometry.

**DOS(E_F)**: 20.5 states/eV/cell

```
data_PmNpRu2
_space_group_name_H-M_alt 'F m -3 m'
_space_group_IT_number 225
_space_group_name_Hall '-F 4 2 3'
_cell_length_a 6.848
_cell_length_b 6.848
_cell_length_c 6.848
_cell_angle_alpha 90.00
_cell_angle_beta 90.00
_cell_angle_gamma 90.00
loop_
_atom_site_label
_atom_site_type_symbol
_atom_site_fract_x
_atom_site_fract_y
_atom_site_fract_z
Pm1 Pm 0.000 0.000 0.000
Np1 Np 0.000 0.000 0.500
Ru1 Ru 0.250 0.250 0.250
```



Model x:
A plane-wave DFT calculation with GGA-PBE was carried out for crystalline PmNpRu2 at its relaxed geometry.

**DOS(E_F)**: 16.3 states/eV/cell

```
data_PmNpRu2
_space_group_name_H-M_alt 'R -3 m'
_space_group_IT_number 166
_space_group_name_Hall '-R 3 2"'
_cell_length_a 3.4091
_cell_length_b 3.4091
_cell_length_c 24.7404
_cell_angle_alpha 90.00
_cell_angle_beta 90.00
_cell_angle_gamma 120.00
loop_
_atom_site_label
_atom_site_type_symbol
_atom_site_fract_x
_atom_site_fract_y
_atom_site_fract_z
Pm1 Pm 0.0000 0.0000 0.0000
Np1 Np 0.0000 0.0000 0.5000
Ru1 Ru 0.0000 0.0000 0.2366
```



Least stable: model x



Model w:
A plane-wave DFT calculation with GGA-PBE was carried out for crystalline PmNpRu2 at its relaxed geometry.

**DOS(E_F)**: 5.2 states/eV/cell

```
data_PmNpRu2
_space_group_name_H-M_alt 'P 4/m m m'
_space_group_IT_number 123
_space_group_name_Hall '-P 4 2'
_cell_length_a 3.331
_cell_length_b 3.331
_cell_length_c 7.276
_cell_angle_alpha 90.00
_cell_angle_beta 90.00
_cell_angle_gamma 90.00
loop_
_atom_site_label
_atom_site_type_symbol
_atom_site_fract_x
_atom_site_fract_y
_atom_site_fract_z
Pm1 Pm 0.000 0.000 0.000
Np1 Np 0.000 0.000 0.500
Ru1 Ru 0.500 0.500 0.291
```



Model x:
A plane-wave DFT calculation with GGA-PBE was carried out for crystalline PmNpRu2 at its relaxed geometry.

**DOS(E_F)**: 12.8 states/eV/cell

```
data_PmNpRu2
_space_group_name_H-M_alt 'P 1'
_space_group_IT_number 1
_space_group_name_Hall 'P 1'
_cell_length_a 5.825
_cell_length_b 5.826
_cell_length_c 6.108
_cell_angle_alpha 68.45
_cell_angle_beta 81.52
_cell_angle_gamma 64.82
loop_
_atom_site_label
_atom_site_type_symbol
_atom_site_fract_x
_atom_site_fract_y
_atom_site_fract_z
Pm1 Pm 0.000 0.000 0.000
Pm2 Pm 0.332 0.441 0.678
Np1 Np 0.443 0.971 0.321
Np2 Np 0.687 0.737 0.835
Ru1 Ru 0.111 0.377 0.170
Ru2 Ru 0.549 0.478 0.161
Ru3 Ru 0.807 0.559 0.482
Ru4 Ru 0.857 0.023 0.533
```



Least stable: model x